<w>
The following is a PBE-GGA calculation of an optimized crystal structure of OsC4, from Alexandria via LeMat-Bulk.

POSCAR file:
```
OsC4
1.0
-2.047 -3.232 0.076
-2.150 1.338 2.867
0.384 1.991 -3.245
Os C
1 4
Cartesian
0.000 0.000 0.000
-1.880 -1.094 -0.848
-1.932 1.191 0.547
-2.647 -1.194 1.856
-1.550 -0.699 1.087
```



<x>
The following is a PBE-GGA calculation of an optimized crystal structure of OsC4, from Alexandria via LeMat-Bulk.

POSCAR file:
```
OsC4
1.0
-2.913 1.185 -2.433
-1.448 -3.702 -0.070
-2.287 0.835 3.144
C Os
4 1
Cartesian
0.000 0.000 0.000
-2.600 1.010 0.355
-1.867 -1.434 1.537
-2.180 -1.259 -1.252
-3.324 -0.841 0.320
```



<y>
The following is a PBE-GGA calculation of an optimized crystal structure of OsC4, from Alexandria via LeMat-Bulk.

POSCAR file:
```
OsC4
1.0
3.606 -1.403 1.336
-2.844 -2.910 0.441
0.311 1.016 -3.953
Os C
1 4
Cartesian
0.000 0.000 0.000
-1.422 -1.455 0.220
0.536 -1.648 -1.088
1.803 -0.701 0.668
0.155 0.508 -1.976
```



Stability, lowest: <x>



<w>
The following is a PBE-GGA calculation of an optimized crystal structure of OsC4, from Alexandria via LeMat-Bulk.

POSCAR file:
```
OsC4
1.0
-2.598 2.598 3.747
2.598 -2.598 3.747
2.598 2.598 -3.747
Os C
1 4
Cartesian
0.000 0.000 0.000
1.955 0.000 0.000
0.000 1.955 0.000
3.241 0.000 0.000
0.000 3.241 0.000
```



<x>
The following is a PBE-GGA calculation of an optimized crystal structure of OsC4, from Alexandria via LeMat-Bulk.

POSCAR file:
```
OsC4
1.0
-0.882 0.824 2.462
-1.668 0.142 -2.172
-2.038 -5.736 1.189
Os C
1 4
Cartesian
0.000 0.000 0.000
-2.736 -3.882 1.846
-1.853 -0.887 -0.367
-2.251 -2.517 1.563
-2.338 -2.252 -0.084
```



Stability, lowest: <w>



<w>
The following is a PBE-GGA calculation of an optimized crystal structure of OsC3, from Alexandria via LeMat-Bulk.

POSCAR file:
```
OsC3
1.0
4.944 0.000 0.000
0.000 5.180 0.000
0.000 0.000 5.437
C Os
12 4
Cartesian
0.321 4.873 4.078
2.793 2.896 1.359
2.151 2.284 4.078
4.624 0.306 1.359
3.004 1.368 4.856
0.532 1.221 0.581
4.413 3.958 3.300
1.941 3.811 2.138
1.941 3.811 0.581
4.413 3.958 4.856
0.532 1.221 2.138
3.004 1.368 3.300
2.429 4.467 4.078
4.901 3.302 1.359
0.043 1.877 4.078
2.515 0.712 1.359
```



<x>
The following is a PBE-GGA calculation of an optimized crystal structure of OsC3, from Alexandria via LeMat-Bulk.

POSCAR file:
```
OsC3
1.0
2.576 0.000 0.000
0.000 8.171 0.000
0.000 0.000 3.170
C Os
3 1
Cartesian
0.000 0.000 0.079
1.288 0.000 0.079
1.288 4.086 1.770
0.000 4.086 0.185
```



Stability, lowest: <x>



<w>
The following is a PBE-GGA calculation of an optimized crystal structure of Os5C3, from Alexandria via LeMat-Bulk.

POSCAR file:
```
Os5C3
1.0
-5.197 -2.846 3.195
6.713 -0.281 1.122
0.413 3.560 4.908
C Os
6 10
Cartesian
0.888 -0.604 0.960
1.041 1.040 8.269
-2.027 -1.655 2.117
3.955 2.091 7.112
0.130 1.097 3.742
1.799 -0.661 5.488
4.004 0.851 4.253
-2.075 -0.414 4.977
0.216 -1.678 5.174
1.712 2.114 4.056
2.372 0.887 6.552
-0.444 -0.450 2.677
-0.370 0.345 7.006
2.299 0.091 2.223
2.821 -1.822 4.192
-0.892 2.258 5.037
```



<x>
The following is a PBE-GGA calculation of an optimized crystal structure of Os5C3, from Alexandria via LeMat-Bulk.

POSCAR file:
```
Os5C3
1.0
6.010 0.000 0.000
-3.009 5.197 0.000
0.000 0.000 6.347
C Os
6 10
Cartesian
3.622 0.226 1.587
-0.621 4.971 4.760
3.995 3.016 1.587
1.390 1.946 1.587
1.611 3.251 4.760
-0.994 2.182 4.760
-0.002 3.468 6.070
3.003 1.729 2.896
3.003 1.729 0.277
-0.002 3.468 3.451
-1.411 4.914 1.587
4.412 0.283 4.760
-0.558 1.527 1.587
1.957 3.952 1.587
1.045 1.245 4.760
3.559 3.670 4.760
```



<y>
The following is a PBE-GGA calculation of an optimized crystal structure of Os5C3, from Alexandria via LeMat-Bulk.

POSCAR file:
```
Os5C3
1.0
-2.035 0.518 1.716
1.563 -0.759 2.082
3.844 11.173 1.187
Os C
5 3
Cartesian
0.000 0.000 0.000
0.868 2.523 0.268
2.976 8.650 0.919
1.254 4.211 2.359
2.118 6.722 2.626
1.922 5.587 0.593
0.198 1.140 2.033
3.175 9.792 2.952
```



Stability, lowest: <y>



<w>
The following is a PBE-GGA calculation of an optimized crystal structure of Os3C, from Alexandria via LeMat-Bulk.

POSCAR file:
```
Os3C
1.0
-1.363 2.075 -1.213
-0.608 -1.679 -2.190
-5.529 -1.888 2.983
C Os
1 3
Cartesian
-4.604 -1.572 2.484
-3.839 -0.040 1.097
-6.259 -1.602 1.144
-2.013 -1.423 -0.173
```



<x>
The following is a PBE-GGA calculation of an optimized crystal structure of Os3C, from Alexandria via LeMat-Bulk.

POSCAR file:
```
Os3C
1.0
-2.989 0.012 -3.853
2.649 -4.086 -2.068
-4.662 -4.845 3.601
C Os
4 12
Cartesian
-2.819 -7.286 -1.337
0.235 -3.680 -0.608
-5.237 -5.239 -1.712
-2.183 -1.632 -0.984
-3.837 -3.837 1.987
-1.941 -3.041 -2.566
-3.061 -5.877 0.246
-1.165 -5.082 -4.308
-5.857 -5.324 0.271
-0.108 -1.553 -1.091
-3.220 -5.626 -2.522
-0.818 -5.334 -1.298
0.855 -3.595 -2.591
-4.894 -7.365 -1.229
-1.782 -3.293 0.202
-4.183 -3.585 -1.022
```



Stability, lowest: <x>



<w>
The following is a PBE-GGA calculation of an optimized crystal structure of Os4C, from Alexandria via LeMat-Bulk.

POSCAR file:
```
Os4C
1.0
4.036 0.000 0.000
0.000 4.036 0.000
0.000 0.000 4.036
C Os
1 4
Cartesian
2.018 2.018 2.018
0.000 0.000 0.000
2.018 0.000 2.018
0.000 2.018 2.018
2.018 2.018 0.000
```



<x>
The following is a PBE-GGA calculation of an optimized crystal structure of Os4C, from Alexandria via LeMat-Bulk.

POSCAR file:
```
Os4C
1.0
4.187 -0.670 1.555
-0.835 4.434 -0.213
-2.971 -1.960 2.782
Os C
4 1
Cartesian
0.191 0.902 2.062
-1.485 -0.980 1.391
-0.418 2.217 -0.107
2.094 -0.335 0.778
0.000 0.000 0.000
```



Stability, lowest: <x>



<w>
The following is a PBE-GGA calculation of an optimized crystal structure of Os4C, from Alexandria via LeMat-Bulk.

POSCAR file:
```
Os4C
1.0
2.070 -0.909 6.454
0.378 3.678 5.752
-3.495 -2.127 -5.479
Os C
4 1
Cartesian
-0.101 -0.826 3.539
-0.947 1.468 3.188
1.464 1.657 7.304
0.983 1.112 4.903
0.000 0.000 0.000
```



<x>
The following is a PBE-GGA calculation of an optimized crystal structure of Os4C, from Alexandria via LeMat-Bulk.

POSCAR file:
```
Os4C
1.0
-3.394 3.394 1.366
3.394 -3.394 1.366
3.394 3.394 -1.366
Os C
4 1
Cartesian
3.902 1.595 0.000
1.799 0.508 1.366
-0.508 1.799 1.366
1.595 2.886 0.000
0.000 0.000 0.000
```



<y>
The following is a PBE-GGA calculation of an optimized crystal structure of Os4C, from Alexandria via LeMat-Bulk.

POSCAR file:
```
Os4C
1.0
-1.826 -1.853 1.064
0.419 -2.755 -0.368
4.420 -1.866 8.111
Os C
4 1
Cartesian
2.747 -4.882 7.386
0.266 -1.593 1.421
2.544 -1.737 5.086
0.469 -4.737 3.721
0.000 0.000 0.000
```



Stability, lowest: <w>



<w>
The following is a PBE-GGA calculation of an optimized crystal structure of Os2C3, from Alexandria via LeMat-Bulk.

POSCAR file:
```
Os2C3
1.0
-2.087 -6.953 1.901
-3.605 -2.378 4.730
-3.887 -2.931 -2.748
Os C
4 6
Cartesian
-5.725 -8.103 -0.589
-4.398 -3.993 4.479
-2.930 -3.769 -0.616
-2.403 -2.197 2.566
-5.226 -7.332 4.861
-4.564 -4.865 -0.975
-5.852 -4.450 3.183
-6.641 -6.925 0.743
-2.990 -2.884 0.980
-2.683 -6.772 1.909
```



<x>
The following is a PBE-GGA calculation of an optimized crystal structure of Os2C3, from Alexandria via LeMat-Bulk.

POSCAR file:
```
Os2C3
1.0
-2.542 7.344 3.914
-4.940 5.571 4.502
-2.492 5.460 6.300
Os C
2 3
Cartesian
-3.941 7.261 5.815
-6.033 11.114 8.901
0.000 0.000 0.000
-7.590 13.983 11.199
-2.384 4.392 3.517
```



Stability, lowest: <x>